The following is a PBE calculation of crystalline Ca2YMg3 at its relaxed geometry, from Alexandria via LeMat-Bulk.

Lattice parameters (Å, degrees): 3.847 3.847 12.097 90.00 90.00 90.00
Site moments in Bohr magnetons follow the coordinates.
Positions (direct):
Ca 0.500 0.500 0.827  0.00
Ca 0.500 0.500 0.173  0.00
Y 0.500 0.500 0.500  0.10
Mg 0.000 0.000 0.000  0.00
Mg 0.000 0.000 0.655  0.00
Mg 0.000 0.000 0.345  0.00

Computed properties:
- Magnetic moment: 0.26 μB per formula unit
- Calculated total energy: -2.63 eV per atom


The following is a PBE calculation of crystalline CaY2Mg3 at its relaxed geometry, from Alexandria via LeMat-Bulk.

Lattice parameters (Å, degrees): 3.839 3.839 11.669 90.00 90.00 90.00
Positions (direct):
Ca 0.500 0.500 0.500
Y 0.500 0.500 0.842
Y 0.500 0.500 0.158
Mg 0.000 0.000 0.000
Mg 0.000 0.000 0.680
Mg 0.000 0.000 0.320

Computed properties:
- Magnetic moment: 0.00 μB per formula unit
- Calculated total energy: -3.38 eV per atom


The following is a PBE calculation of crystalline Ca2YMg at its relaxed geometry, from Alexandria via LeMat-Bulk.

Lattice parameters (Å, degrees): 5.751 5.751 5.751 120.67 120.67 88.85
Positions (direct):
Ca 0.000 0.000 0.000
Ca 0.250 0.750 0.500
Mg 0.500 0.500 0.000
Y 0.750 0.250 0.500

Computed properties:
- Magnetic moment: 0.00 μB per formula unit
- Calculated total energy: -2.94 eV per atom


The following is a PBE calculation of crystalline Ca3YMg at its relaxed geometry, from Alexandria via LeMat-Bulk.

Lattice parameters (Å, degrees): 5.929 5.929 5.929 90.00 90.00 90.00
Positions (direct):
Y 0.500 0.500 0.500
Ca 0.000 0.500 0.000
Ca 0.000 0.000 0.500
Ca 0.500 0.000 0.000
Mg 0.000 0.000 0.000

Computed properties:
- Magnetic moment: 0.00 μB per formula unit
- Calculated total energy: -2.33 eV per atom


The following is a PBE calculation of crystalline Ca5YMg6 at its relaxed geometry, from Alexandria via LeMat-Bulk.

Lattice parameters (Å, degrees): 5.603 7.772 9.645 66.23 73.51 90.00
Positions (direct):
Y 0.000 0.000 0.000
Ca 0.668 0.168 0.664
Ca 0.335 0.335 0.330
Ca 0.000 0.500 0.000
Ca 0.665 0.665 0.670
Ca 0.332 0.832 0.336
Mg 0.836 0.593 0.328
Mg 0.836 0.078 0.327
Mg 0.500 0.763 0.000
Mg 0.500 0.237 0.000
Mg 0.164 0.922 0.673
Mg 0.164 0.407 0.672

Computed properties:
- Magnetic moment: 0.00 μB per formula unit
- Calculated total energy: -2.25 eV per atom


The following is a PBE calculation of crystalline CaYMg2 at its relaxed geometry, from Alexandria via LeMat-Bulk.

Lattice parameters (Å, degrees): 3.563 3.585 9.310 90.00 90.00 90.00
Site moments in Bohr magnetons follow the coordinates.
Positions (direct):
Ca 0.500 0.500 0.772  -0.01
Mg 0.000 0.000 0.035  0.00
Mg 0.500 0.500 0.230  0.00
Y 0.000 0.000 0.463  -0.11

Computed properties:
- Magnetic moment: 0.24 μB per formula unit
- Calculated total energy: -2.92 eV per atom


The following is a PBE calculation of crystalline CaYMg2 at its relaxed geometry, from Alexandria via LeMat-Bulk.

Lattice parameters (Å, degrees): 6.619 6.619 6.619 147.83 129.70 60.97
Positions (direct):
Y 0.520 0.520 0.000
Ca 0.234 0.734 0.500
Mg 0.978 0.978 0.000
Mg 0.767 0.267 0.500

Computed properties:
- Magnetic moment: 0.00 μB per formula unit
- Calculated total energy: -2.93 eV per atom


The following is a PBE calculation of crystalline Ca2YMg at its relaxed geometry, from Alexandria via LeMat-Bulk.

Lattice parameters (Å, degrees): 5.826 3.538 6.606 82.72 90.00 90.00
Positions (direct):
Ca 0.000 0.039 0.002
Ca 0.000 0.461 0.498
Mg 0.500 0.250 0.250
Y 0.500 0.750 0.750

Computed properties:
- Magnetic moment: 0.00 μB per formula unit
- Calculated total energy: -2.92 eV per atom